# Tl6TeAu3 | the Alexandria database | PBE | optimized geometry
# * ΔE_f (raw): -0.07 eV/atom
data_Tl6TeAu3
_space_group_name_H-M_alt 'P 1 21/m 1'
_space_group_IT_number 11
_cell_length_a 10.664
_cell_length_b 4.377
_cell_length_c 13.213
_cell_angle_alpha 90.00
_cell_angle_beta 111.77
_cell_angle_gamma 90.00
loop_
_space_group_symop_operation_xyz
'x,y,z'
'-x,-y,-z'
'-x,y+1/2,-z'
'x,-y+1/2,z'
loop_
_atom_site_label
_atom_site_type_symbol
_atom_site_fract_x
_atom_site_fract_y
_atom_site_fract_z
Tl1 Tl 0.005 0.250 0.109
Tl2 Tl 0.153 0.250 0.754
Tl3 Tl 0.167 0.750 0.531
Tl4 Tl 0.297 0.750 0.140
Tl5 Tl 0.382 0.250 0.402
Tl6 Tl 0.421 0.750 0.882
Te1 Te 0.407 0.250 0.677
Au1 Au 0.032 0.250 0.355
Au2 Au 0.171 0.750 0.297
Au3 Au 0.276 0.250 0.989